The following is a DFT calculation (GGA-PBE) of crystalline BaIn2Cu at its relaxed geometry.

Lattice parameters (Å, degrees): 8.097 4.674 6.828 90.00 113.21 90.00
Space group Cm (No. 8)
One atom of each set of equivalent atoms:
1 Ba 0.000 0.000 0.000 x2
2 In 0.207 0.000 0.621 x2
3 In 0.463 0.000 0.388 x2
4 Cu 0.318 0.500 0.454 x2

volume: 237.5 Å³ per cell
E: -24.94 eV/cell
E_form: -0.2437 eV per atom
mass density: 6019 kg/m³